[1]
First-principles (PBE) data for a relaxed structure of KTa2Re, as listed in the Alexandria database.

Cell and atoms, written as CIF:
```
data_KTa2Re
_chemical_formula_sum 'K1 Ta2 Re1'
_cell_length_a 4.819
_cell_length_b 4.819
_cell_length_c 3.228
_cell_angle_alpha 90.00
_cell_angle_beta 90.00
_cell_angle_gamma 90.00
_symmetry_space_group_name_H-M 'P 4/m m m'
_symmetry_Int_Tables_number 123
_symmetry_space_group_name_Hall '-P 4 2'
loop_
_atom_site_label
_atom_site_type_symbol
_atom_site_fract_x
_atom_site_fract_y
_atom_site_fract_z
K1 K 0.000 0.000 0.000
Ta1 Ta 0.000 0.500 0.500
Re1 Re 0.500 0.500 0.000
```

Properties
The value obtained for the formation energy is 1.441 eV per atom. Its crystal system is tetragonal.

=====

[2]
First-principles (PBE) data for a relaxed structure of Co3PtS, as listed in the Alexandria database.

Cell and atoms, written as CIF:
```
data_Co3PtS
_chemical_formula_sum 'Co3 Pt1 S1'
_cell_length_a 4.635
_cell_length_b 4.635
_cell_length_c 4.635
_cell_angle_alpha 90.00
_cell_angle_beta 90.00
_cell_angle_gamma 90.00
_symmetry_space_group_name_H-M 'P m -3 m'
_symmetry_Int_Tables_number 221
_symmetry_space_group_name_Hall '-P 4 2 3'
loop_
_atom_site_label
_atom_site_type_symbol
_atom_site_fract_x
_atom_site_fract_y
_atom_site_fract_z
Co1 Co 0.000 0.000 0.500
Pt1 Pt 0.000 0.000 0.000
S1 S 0.500 0.500 0.500
```

Properties
The formation energy (no corrections) comes out at 1.32 eV/atom. Its crystal system is cubic.

=====

[3]
First-principles (PBE) data for a relaxed structure of LaAu2Cl, as listed in the Alexandria database.

Cell and atoms, written as CIF:
```
data_LaAu2Cl
_chemical_formula_sum 'La4 Au8 Cl4'
_cell_length_a 7.171
_cell_length_b 7.171
_cell_length_c 7.171
_cell_angle_alpha 90.00
_cell_angle_beta 90.00
_cell_angle_gamma 90.00
_symmetry_space_group_name_H-M 'F -4 3 m'
_symmetry_Int_Tables_number 216
_symmetry_space_group_name_Hall 'F -4 2 3'
loop_
_atom_site_label
_atom_site_type_symbol
_atom_site_fract_x
_atom_site_fract_y
_atom_site_fract_z
La1 La 0.000 0.000 0.000
Au1 Au 0.000 0.000 0.500
Au2 Au 0.250 0.250 0.250
Cl1 Cl 0.250 0.250 0.750
```

Properties
The formation energy (no corrections) comes out at -0.98 eV/atom. Its crystal system is cubic.

=====

| no. | energy above the lowest structure with this stoichiometry (meV per atom) |
| --- | --- |
| 1 | 859 |
| 2 | 1084 |
| 3 | 35 |